The following is a DFT calculation (PBE) of crystalline Ca2NbRu at its relaxed geometry.

```
Ca2NbRu
1.0
-5.3096 5.3096 2.3646
5.3096 -5.3096 2.3646
5.3096 5.3096 -2.3646
Ca Nb Ru
4 2 2
direct
0.3750 0.2220 0.3470
0.7780 0.1250 0.1530
0.8750 0.0280 0.6530
0.9720 0.6250 0.8470
0.2500 0.7500 0.5000
0.5000 0.5000 0.0000
0.0000 0.0000 0.0000
0.7500 0.2500 0.5000
```

Calculated density: 3.41 Mg/m³
Excess energy over the best structure of this formula in the dataset: 0 meV per atom
Calculated volume: 266.7 Å³ per cell

The following is a DFT calculation (PBE) of crystalline Ca3NbRu at its relaxed geometry.

```
Ca3NbRu
1.0
5.3686 0.0000 0.0000
0.0000 5.3686 0.0000
0.0000 0.0000 5.3686
Ca Nb Ru
3 1 1
direct
0.0000 0.0000 0.5000
0.0000 0.5000 0.0000
0.5000 0.0000 0.0000
0.5000 0.5000 0.5000
0.0000 0.0000 0.0000
```

Calculated density: 3.37 Mg/m³
Excess energy over the best structure of this formula in the dataset: 0 meV per atom
Calculated volume: 154.7 Å³ per cell

The following is a DFT calculation (PBE) of crystalline CaNb2Ru at its relaxed geometry.

```
CaNb2Ru
1.0
-2.4774 2.4774 8.8873
2.4774 -2.4774 8.8873
2.4774 2.4774 -8.8873
Ca Nb Ru
2 4 2
direct
0.3750 0.6250 0.7500
0.6250 0.3750 0.2500
0.0000 0.0000 0.0000
0.0000 0.0000 0.5000
0.0000 0.5000 0.0000
0.5000 0.0000 0.5000
0.1250 0.8750 0.2500
0.8750 0.1250 0.7500
```

Calculated density: 4.98 Mg/m³
Excess energy over the best structure of this formula in the dataset: 541 meV per atom
Calculated volume: 218.2 Å³ per cell

The following is a DFT calculation (PBE) of crystalline CaNb2Ru at its relaxed geometry.

```
CaNb2Ru
1.0
0.0000 3.3151 3.3151
3.3151 0.0000 3.3151
3.3151 3.3151 0.0000
Ca Nb Ru
1 2 1
direct
0.0000 0.0000 0.0000
0.2500 0.2500 0.2500
0.7500 0.7500 0.7500
0.5000 0.5000 0.5000
```

Calculated density: 7.45 Mg/m³
Excess energy over the best structure of this formula in the dataset: 0 meV per atom
Calculated volume: 72.9 Å³ per cell